Record 1
## ZnWBr2 (PBE-GGA)

Data for crystalline ZnWBr2 at its relaxed geometry.

Calculated values
* electronic total energy: -3.731 eV/atom
* ΔE_f (raw): 63.9 kJ per mole of atoms

extended XYZ file:
```
4
Lattice="4.4201 0.0000 0.0000 0.0000 3.1479 -0.0021 0.0000 -2.0356 5.8696" Properties=species:S:1:pos:R:3 pbc="T T T"
Br 0.0000 0.6815 0.0624
Br 0.0000 -0.1253 2.8714
Zn 2.2101 0.8343 4.4007
W 2.2101 0.2781 1.4669
```

---

Record 2
## ZnSiSb2 (PBE-GGA)

Data for crystalline ZnSiSb2 at its relaxed geometry.

Calculated values
* electronic total energy: -3.339 eV/atom
* ΔE_f (raw): 38.2 kJ per mole of atoms

extended XYZ file:
```
4
Lattice="-1.0379 1.1877 5.8865 4.3143 -0.2676 4.2957 -1.0162 2.3208 -5.5425" Properties=species:S:1:pos:R:3 pbc="T T T"
Sb 0.0000 0.0000 0.0000
Si 1.6382 0.4601 5.0911
Sb 2.4682 1.2566 1.9222
Zn -0.2080 1.9843 2.7175
```

---

Record 3
## CeCd6Ag (PBE-GGA)

Data for crystalline CeCd6Ag at its relaxed geometry.

Calculated values
* ΔH_f (0 K): -0.0109 eV/atom
* electronic total energy: -1.795 eV/atom

extended XYZ file:
```
8
Lattice="-2.4660 -2.7851 4.5051 3.1933 -2.9831 -3.8779 5.3931 1.0731 3.6155" Properties=species:S:1:pos:R:3 pbc="T T T"
Ce 2.6966 0.5366 1.8078
Cd 2.8916 -1.2339 -1.0708
Cd 2.8651 -0.5771 4.9999
Cd 4.4589 -2.0692 3.0590
Ag 0.0000 0.0000 0.0000
Cd 1.6615 -2.6259 1.1837
Cd 0.0619 -1.1349 3.1207
Cd 5.6948 -0.6761 0.8084
```

---

Record 4
## SiRh2Br (PBE-GGA)

Data for crystalline SiRh2Br at its relaxed geometry.

Calculated values
* electronic total energy: -5.776 eV/atom
* ΔE_f (raw): -31.4 kJ per mole of atoms

extended XYZ file:
```
4
Lattice="-1.7389 2.6010 -1.8303 -3.6185 0.1867 0.1038 -1.4723 4.6295 4.3482" Properties=species:S:1:pos:R:3 pbc="T T T"
Rh -1.4905 4.3381 3.9668
Br -1.7074 1.8543 0.6554
Rh -3.3967 4.0000 1.6923
Si -5.1223 5.5629 1.9662
```

---

Record 5
## HfTa2W (PBE-GGA)

Data for crystalline HfTa2W at its relaxed geometry.

Calculated values
* ΔH_f (0 K): 0.7147 eV/atom
* electronic total energy: -10.938 eV/atom

extended XYZ file:
```
8
Lattice="-1.8057 6.7085 2.9016 1.8286 -2.4792 6.8698 2.6698 2.9983 4.4970" Properties=species:S:1:pos:R:3 pbc="T T T"
Ta -0.2825 4.8182 3.8768
Hf 2.2550 1.3169 8.1262
Hf 0.0115 2.1146 4.8857
Ta 1.6346 -0.1471 5.7002
Ta 2.0731 5.8807 12.1129
W 0.4378 5.9107 6.1422
W 0.0000 0.0000 0.0000
Ta 1.9603 3.9034 6.8468
```

---

Record 6
## Co6Ni5Rh (PBE-GGA)

Data for crystalline Co6Ni5Rh at its relaxed geometry.

Calculated values
* ΔH_f (0 K): 0.0129 eV/atom
* electronic total energy: -6.561 eV/atom

extended XYZ file:
```
12
Lattice="8.0205 -0.6507 0.0000 1.8083 3.0342 0.0000 0.9042 1.5171 5.2936" Properties=species:S:1:pos:R:3 pbc="T T T"
Co 7.3346 1.8100 0.0000
Ni 5.8186 2.7088 1.7595
Co 7.3512 1.7997 3.5054
Ni 4.9144 1.1917 0.0000
Ni 1.8083 3.0342 3.4875
Co 3.3818 2.1008 1.7882
Co 4.2860 3.6179 3.5054
Ni 0.9042 1.5171 1.8061
Rh 0.0000 0.0000 0.0000
Co 6.4470 0.2826 1.7882
Co 2.4942 0.5734 0.0000
Ni 4.9144 1.1917 3.5341
```

---

Record 7
## SrZnBr3 (PBE-GGA)

Data for crystalline SrZnBr3 at its relaxed geometry.

Calculated values
* electronic total energy: -2.647 eV/atom
* ΔE_f (raw): -101.5 kJ per mole of atoms

extended XYZ file:
```
5
Lattice="5.3358 0.0000 0.0000 0.0000 5.3358 0.0000 0.0000 0.0000 5.3358" Properties=species:S:1:pos:R:3 pbc="T T T"
Br 0.0000 2.6679 0.0000
Sr 2.6679 2.6679 2.6679
Br 2.6679 0.0000 0.0000
Zn 0.0000 0.0000 0.0000
Br 0.0000 0.0000 2.6679
```

---

Record 8
## Ho5SiTe2 (PBE-GGA)

Data for crystalline Ho5SiTe2 at its relaxed geometry.

Calculated values
* electronic total energy: -4.940 eV/atom
* ΔE_f (raw): -59.4 kJ per mole of atoms

extended XYZ file:
```
16
Lattice="-1.8393 5.4172 -1.3312 -0.4723 -1.7432 6.5174 12.5817 4.8121 2.1988" Properties=species:S:1:pos:R:3 pbc="T T T"
Ho 1.4090 0.7007 0.9047
Ho 6.2834 5.8145 2.0217
Ho 5.6890 6.5721 5.9259
Te -1.0350 3.5964 3.1065
Si 7.7659 6.8384 4.1399
Ho 3.9868 2.6715 5.3633
Ho 8.5439 4.2280 5.4008
Ho 10.0975 7.2733 2.6882
Ho 1.7263 4.2581 1.9842
Ho 4.5811 1.9139 1.4591
Si 2.5043 1.6477 3.2451
Ho 0.1727 1.2128 4.6968
Te 3.7545 5.4282 3.9435
Te 6.5156 3.0579 3.4414
Te 11.3051 4.8897 4.2785
Ho 8.8612 7.7854 6.4803
```

---

Record 9
## SmOsS2 (PBE-GGA)

Data for crystalline SmOsS2 at its relaxed geometry.

Calculated values
* electronic total energy: -6.291 eV/atom
* ΔE_f (raw): -23.2 kJ per mole of atoms

extended XYZ file:
```
4
Lattice="-2.3108 1.5519 -2.4968 -2.4289 -2.1340 -1.8785 -6.7416 0.8852 3.9895" Properties=species:S:1:pos:R:3 pbc="T T T"
Os -5.7406 0.1515 -0.1929
Sm 0.0000 0.0000 0.0000
S -4.8806 0.4961 2.0253
S -6.6007 -0.1930 -2.4111
```

---

Record 10
## Th4P2OsS (PBE-GGA)

Data for crystalline Th4P2OsS at its relaxed geometry.

Calculated values
* electronic total energy: -8.259 eV/atom
* ΔE_f (raw): -123.2 kJ per mole of atoms

extended XYZ file:
```
8
Lattice="4.0937 0.0000 0.0000 0.0000 7.2177 -0.1660 0.0000 2.5207 6.7225" Properties=species:S:1:pos:R:3 pbc="T T T"
P 2.0469 1.2604 3.3612
S 0.0000 4.8692 3.2783
Th 0.0001 7.2721 4.9919
P 0.0000 2.5207 6.7225
Th 2.0469 6.0349 1.5203
Th 4.0937 2.4663 1.5645
Th 2.0469 3.7035 5.0361
Os 2.0469 3.6089 -0.0830
```

---

Record 11
## Ir3Ru2Pt (PBE-GGA)

Data for crystalline Ir3Ru2Pt at its relaxed geometry.

Calculated values
* ΔH_f (0 K): -0.0083 eV/atom
* electronic total energy: -8.538 eV/atom

extended XYZ file:
```
12
Lattice="-4.5556 -1.1304 0.6295 2.7277 -2.6469 -2.8268 -0.8007 -5.8872 7.3842" Properties=species:S:1:pos:R:3 pbc="T T T"
Pt -2.5774 -7.1290 4.1727
Ru -0.1515 -7.6210 3.0311
Pt -0.0512 -2.5355 1.0142
Ir -2.5015 -4.5553 3.1858
Ru -0.4004 -2.9436 3.6921
Ir -0.1271 -5.1092 2.0010
Ru -2.4771 -2.0434 2.1558
Ir 0.3323 -2.1580 -1.6902
Ir -2.9609 -7.5065 6.8771
Ir -2.1755 -4.1964 0.4720
Ir -0.4531 -5.4680 4.7149
Ru 0.0000 0.0000 0.0000
```

---

Record 12
## DyScPtRh (PBE-GGA)

Data for crystalline DyScPtRh at its relaxed geometry.

Calculated values
* ΔH_f (0 K): -1.0788 eV/atom
* electronic total energy: -7.160 eV/atom

extended XYZ file:
```
4
Lattice="-1.0262 -2.9757 -1.1432 2.2293 -1.5284 1.9770 -4.6147 -0.3143 4.9607" Properties=species:S:1:pos:R:3 pbc="T T T"
Rh -1.7367 -0.1183 1.8669
Pt -3.8678 -0.2634 4.1577
Sc -2.1719 -2.4409 3.3983
Dy 0.0825 -2.2874 0.9749
```

---

Record 13
## Ca2CdAs4Pd3 (PBE-GGA)

Data for crystalline Ca2CdAs4Pd3 at its relaxed geometry.

Calculated values
* ΔH_f (0 K): -0.6592 eV/atom
* electronic total energy: -4.569 eV/atom

extended XYZ file:
```
10
Lattice="4.2991 0.0000 0.0000 0.0000 4.2991 0.0000 0.0000 0.0000 11.0422" Properties=species:S:1:pos:R:3 pbc="T T T"
As 0.0000 0.0000 0.0000
Pd 2.1496 0.0000 9.6313
As 2.1496 0.0000 7.1677
Pd 0.0000 2.1496 1.4109
As 0.0000 2.1496 3.8745
Ca 2.1496 0.0000 2.7024
Pd 0.0000 0.0000 5.5211
Ca 0.0000 2.1496 8.3398
As 2.1496 2.1496 0.0000
Cd 2.1496 2.1496 5.5211
```

---

Record 14
## CrRh2 (PBE-GGA)

Data for crystalline CrRh2 at its relaxed geometry.

Calculated values
* ΔH_f (0 K): -0.0179 eV/atom
* electronic total energy: -8.127 eV/atom

extended XYZ file:
```
6
Lattice="4.2459 0.0000 0.0000 -2.1230 3.6755 0.0000 0.0000 0.0000 5.3123" Properties=species:S:1:pos:R:3 pbc="T T T"
Cr 2.1230 2.4490 2.8042
Rh 0.0000 1.2243 2.8041
Rh 2.1230 2.4512 0.1480
Cr 0.0000 1.2265 0.1481
Rh 0.0000 3.6752 1.4761
Rh 2.1230 0.0002 4.1322
```

---

Record 15
## Sc3SiSe (PBE-GGA)

Data for crystalline Sc3SiSe at its relaxed geometry.

Calculated values
* electronic total energy: -5.905 eV/atom
* ΔE_f (raw): -31.3 kJ per mole of atoms

extended XYZ file:
```
5
Lattice="4.9078 0.0000 0.0000 0.0000 4.9078 0.0000 0.0000 0.0000 4.9078" Properties=species:S:1:pos:R:3 pbc="T T T"
Sc 0.0000 0.0000 2.4539
Sc 0.0000 2.4539 0.0000
Sc 2.4539 0.0000 0.0000
Si 2.4539 2.4539 2.4539
Se 0.0000 0.0000 0.0000
```

---

Record 16
## RbGa3Au3 (PBE-GGA)

Data for crystalline RbGa3Au3 at its relaxed geometry.

Calculated values
* ΔH_f (0 K): -0.2120 eV/atom
* electronic total energy: -3.052 eV/atom

extended XYZ file:
```
14
Lattice="7.1001 0.0000 0.0000 3.5501 6.1489 0.0000 3.5501 2.0496 8.5309" Properties=species:S:1:pos:R:3 pbc="T T T"
Au 8.9875 6.1355 2.7387
Ga 9.1899 3.5836 3.0821
Ga 5.0104 4.6150 5.4488
Rb 7.1002 4.0993 0.0177
Ga 7.6984 2.0317 5.4488
Au 4.3930 4.7157 2.7387
Au 9.8073 3.4829 5.7922
Au 5.2128 2.0631 5.7922
Ga 6.5019 6.1669 3.0821
Rb 7.1001 4.0993 8.5133
Ga 5.6087 2.5474 3.0821
Ga 8.5916 5.6512 5.4488
Au 7.9199 1.4467 2.7387
Au 6.2804 6.7519 5.7922
```

---

Record 17
## InHPt3 (PBE-GGA)

Data for crystalline InHPt3 at its relaxed geometry.

Calculated values
* electronic total energy: -3.186 eV/atom

extended XYZ file:
```
5
Lattice="-1.0438 3.8281 3.0694 -3.8668 1.2900 -2.9238 -3.0205 -2.9743 2.6823" Properties=species:S:1:pos:R:3 pbc="T T T"
H -3.9655 1.0719 1.4140
Pt -0.5219 1.9140 1.5347
In 0.0000 0.0000 0.0000
Pt -1.9334 0.6450 -1.4619
Pt -1.5102 -1.4871 1.3412
```

---

Record 18
## ZnGaMoIr (PBE-GGA)

Data for crystalline ZnGaMoIr at its relaxed geometry.

Calculated values
* ΔH_f (0 K): -0.0206 eV/atom
* electronic total energy: -6.019 eV/atom

extended XYZ file:
```
4
Lattice="-0.6316 2.7464 0.0082 -3.7112 0.6136 -2.6448 -3.2351 0.7020 4.0328" Properties=species:S:1:pos:R:3 pbc="T T T"
Zn -3.9898 2.0454 3.3715
Ir -2.6788 2.3537 1.0714
Ga -5.2916 3.2023 1.2192
Mo -3.3492 0.7618 -1.0566
```

---

Record 19
## Tb2ZnNi (PBE-GGA)

Data for crystalline Tb2ZnNi at its relaxed geometry.

Calculated values
* ΔH_f (0 K): -0.3630 eV/atom
* electronic total energy: -4.442 eV/atom

extended XYZ file:
```
4
Lattice="-2.0567 -0.7504 -2.7054 2.5072 -2.0001 -1.3512 -2.5411 -5.5259 3.4647" Properties=species:S:1:pos:R:3 pbc="T T T"
Zn -1.0453 -4.1382 -0.2960
Tb -1.9458 -4.2314 2.6530
Ni 0.2252 -1.3753 -2.0283
Tb -0.5953 -1.2945 0.8116
```

---

Record 20
## Pr5Al2Pb5 (PBE-GGA)

Data for crystalline Pr5Al2Pb5 at its relaxed geometry.

Calculated values
* ΔH_f (0 K): -0.4694 eV/atom
* electronic total energy: -4.630 eV/atom

extended XYZ file:
```
12
Lattice="4.4628 0.0000 1.0986 2.1165 8.2953 1.0162 -0.0213 0.0260 9.7004" Properties=species:S:1:pos:R:3 pbc="T T T"
Pb 0.7400 1.8385 6.6079
Pr 5.0902 7.7318 8.1639
Pb 3.9950 2.5280 2.9991
Pb 5.8180 6.4828 5.2072
Pr 3.2790 4.1606 5.9076
Pr 2.3386 2.5319 9.7277
Pr 1.4678 0.5895 3.6512
Pb 2.5630 5.7932 8.8161
Pb 0.0000 0.0000 0.0000
Al 4.9284 4.3438 8.8210
Al 1.6296 3.9775 2.9941
Pr 4.2194 5.7894 2.0875
```

---

Record 21
## Rb2LaMo (PBE-GGA)

Data for crystalline Rb2LaMo at its relaxed geometry.

Calculated values
* ΔH_f (0 K): 1.5951 eV/atom
* electronic total energy: -2.828 eV/atom

extended XYZ file:
```
4
Lattice="0.0000 4.3145 4.3145 4.3145 0.0000 4.3145 4.3145 4.3145 0.0000" Properties=species:S:1:pos:R:3 pbc="T T T"
Rb 6.4718 6.4718 6.4718
Mo 0.0000 0.0000 0.0000
Rb 2.1573 2.1573 2.1573
La 4.3145 4.3145 4.3145
```

---

Record 22
## MgCoW2 (PBE-GGA)

Data for crystalline MgCoW2 at its relaxed geometry.

Calculated values
* ΔH_f (0 K): 0.4104 eV/atom
* electronic total energy: -8.241 eV/atom

extended XYZ file:
```
4
Lattice="4.3908 -0.0112 -0.0006 0.0247 4.3907 -0.0006 -2.2081 -2.1901 3.1167" Properties=species:S:1:pos:R:3 pbc="T T T"
Mg 2.1952 -0.0058 1.5578
W 0.0118 2.1955 1.5578
W 4.3902 -0.0107 -0.0006
Co 2.2086 2.1888 -0.0006
```

---

Record 23
## KTePt2 (PBE-GGA)

Data for crystalline KTePt2 at its relaxed geometry.

Calculated values
* electronic total energy: -3.900 eV/atom
* ΔE_f (raw): 17.4 kJ per mole of atoms

extended XYZ file:
```
4
Lattice="5.6506 0.0038 -0.0108 2.0041 5.2833 0.0108 -3.2319 -3.5056 3.0323" Properties=species:S:1:pos:R:3 pbc="T T T"
K 3.1230 -0.4291 1.5107
Pt 3.5311 2.4389 0.0000
Te 1.2998 2.2106 1.5215
Pt 0.2963 0.2046 0.0000
```

---

Record 24
## LiPrLuRh (PBE-GGA)

Data for crystalline LiPrLuRh at its relaxed geometry.

Calculated values
* ΔH_f (0 K): -0.4238 eV/atom
* electronic total energy: -5.065 eV/atom

extended XYZ file:
```
4
Lattice="4.9912 0.0000 0.0000 2.4956 4.3225 0.0000 2.4956 1.4408 4.0753" Properties=species:S:1:pos:R:3 pbc="T T T"
Pr 2.4956 1.4408 1.0188
Rh 0.0000 0.0000 0.0000
Lu 7.4868 4.3225 3.0565
Li 4.9912 2.8817 2.0376
```

---

Record 25
## RbMg4Hg2 (PBE-GGA)

Data for crystalline RbMg4Hg2 at its relaxed geometry.

Calculated values
* ΔH_f (0 K): -0.1290 eV/atom
* electronic total energy: -1.265 eV/atom

extended XYZ file:
```
14
Lattice="4.7945 0.0000 0.0000 0.0000 8.9158 0.0000 0.0000 0.0000 8.9158" Properties=species:S:1:pos:R:3 pbc="T T T"
Mg 2.3973 7.5785 3.6539
Rb 2.3973 0.0000 0.0000
Mg 2.3973 3.6539 7.5785
Rb 0.0000 4.4579 4.4579
Hg 2.3973 6.4054 6.4054
Mg 2.3973 1.3372 5.2619
Mg 0.0000 0.8040 3.1207
Mg 0.0000 3.1207 0.8040
Hg 0.0000 6.9683 1.9475
Mg 0.0000 8.1118 5.7951
Hg 2.3973 2.5104 2.5104
Mg 0.0000 5.7951 8.1118
Hg 0.0000 1.9475 6.9683
Mg 2.3973 5.2619 1.3372
```

---

Record 26
## BaLi2In (PBE-GGA)

Data for crystalline BaLi2In at its relaxed geometry.

Calculated values
* ΔH_f (0 K): -0.1222 eV/atom
* electronic total energy: -2.244 eV/atom

extended XYZ file:
```
4
Lattice="5.9234 -0.0688 0.0051 1.4163 5.7520 -0.0051 -3.0897 -3.5909 3.5568" Properties=species:S:1:pos:R:3 pbc="T T T"
Ba 3.6647 2.8376 0.0000
Li 3.5701 -0.1626 1.7810
Li 7.3139 5.6632 0.0000
In 0.7109 2.2789 1.7758
```